1 | Entry from Alexandria: crystalline PaTl3Te4 at its relaxed geometry (GGA-PBE).

For the calculated density, the calculation gives 6601 kg/m3. Its total magnetization is 0.00 μB per formula unit.

The structure belongs to space group Pmmn (No. 59, origin choice 2); the cell edges are 6.440, 9.700 and 10.910 Å and the angles 90.00°, 90.00° and 90.00°. The inequivalent atoms are Pa at (0.250, 0.250, 0.204), Tl at (0.250, 0.055, 0.664), Tl at (0.250, 0.750, 0.117), Te at (0.250, 0.250, 0.940), Te at (0.250, 0.502, 0.347) and Te at (0.250, 0.750, 0.798).



2 | Entry from Alexandria: crystalline PaTl3Te4 at its relaxed geometry (GGA-PBE).

For the calculated density, the calculation gives 7513 kg/m3. Its total magnetization is 0.08 μB per formula unit.

The structure belongs to space group Cmmm (No. 65); the cell edges are 9.800, 13.379 and 4.567 Å and the angles 90.00°, 90.00° and 90.00°. The inequivalent atoms are Pa at (0.000, 0.000, 0.000), Tl at (0.000, 0.500, 0.000), Tl at (0.250, 0.250, 0.500), Te at (0.000, 0.220, 0.000) and Te at (0.212, 0.000, 0.500).



Of them, the most stable is 2 and the least stable is 1.